Here is La2InRh2 after structural relaxation from Alexandria via LeMat-Bulk. Energies are from PBEsol.

POSCAR file:
```
La2InRh2
1.0
3.9119 0.0000 0.0000
0.0000 7.5730 0.0000
0.0000 0.0000 7.5730
In Rh La
2 4 4
Direct
0.0000 0.0000 0.0000 In
0.0000 0.5000 0.5000 In
0.0000 0.3645 0.8645 Rh
0.0000 0.8645 0.6355 Rh
0.0000 0.6355 0.1355 Rh
0.0000 0.1355 0.3645 Rh
0.5000 0.1691 0.6691 La
0.5000 0.6691 0.8309 La
0.5000 0.8309 0.3309 La
0.5000 0.3309 0.1691 La
```

formation energy = -685 meV per atom
final energy = -66.76 eV/cell

Here is La2InRu after structural relaxation from Alexandria via LeMat-Bulk. Energies are from PBEsol.

POSCAR file:
```
La2InRu
1.0
3.9784 0.0000 0.0000
1.9892 3.4454 0.0000
1.9892 1.1485 8.3219
In La Ru
1 2 1
Direct
0.0000 0.0000 0.0000 In
0.2302 0.2302 0.3093 La
0.7698 0.7698 0.6907 La
0.5000 0.5000 0.5000 Ru
```

formation energy = -171 meV per atom
final energy = -24.53 eV/cell

Here is La2InRu after structural relaxation from Alexandria via LeMat-Bulk. Energies are from PBEsol.

POSCAR file:
```
La2InRu
1.0
3.4048 0.0504 0.0000
-0.0494 3.4048 0.0000
0.0000 0.0000 8.7324
Ru In La
1 1 2
Direct
0.5000 0.5000 0.5000 Ru
0.5000 0.5000 0.0000 In
0.0000 0.0000 0.2969 La
0.0000 0.0000 0.7031 La
```

formation energy = -291 meV per atom
final energy = -25.01 eV/cell

Repeat the second record exactly.
Here is La2InRu after structural relaxation from Alexandria via LeMat-Bulk. Energies are from PBEsol.

POSCAR file:
```
La2InRu
1.0
3.9784 0.0000 0.0000
1.9892 3.4454 0.0000
1.9892 1.1485 8.3219
In La Ru
1 2 1
Direct
0.0000 0.0000 0.0000 In
0.2302 0.2302 0.3093 La
0.7698 0.7698 0.6907 La
0.5000 0.5000 0.5000 Ru
```

formation energy = -171 meV per atom
final energy = -24.53 eV/cell